First-principles (GGA+U) data for a relaxed Tl3FeTe2O8 crystal, as listed in Alexandria.

a b c (Å): 6.1496 6.1496 7.7870
angles (deg): 90.00 90.00 120.00
Closest atoms and distances in Å follow each position.
Space group P-3m1 (No. 164)
Asymmetric unit:
1 Tl 0.0000 0.0000 0.0000 x1  6 O 3.08
2 Tl 0.3333 0.6667 0.7659 x2  1 O 2.40
3 Fe 0.0000 0.0000 0.5000 x1  6 O 2.04
4 Te 0.3333 0.6667 0.3125 x2  4 O 1.86-1.96
5 O 0.1505 0.3011 0.3374 x6  1 Te 1.96, 1 Fe 2.04
6 O 0.3333 0.6667 0.0738 x2  1 Te 1.86

Summary:
For the total energy, the calculation gives -70.52 eV/cell. Its total moment is 3.65 μB/cell. Its theoretical density is 6.85 g/cm3.